VASP calculation (PBE) on a relaxed structure of Sb2Ru. Values from VASP.

Size of the total moment   0.000 μB per formula unit
E_tot   -5.80 eV per atom

The structure in Quantum ESPRESSO input format:
```
&SYSTEM
  ibrav = 0, nat = 3, ntyp = 2
/
ATOMIC_SPECIES
Ru 101.07 Ru.upf
Sb 121.76 Sb.upf
CELL_PARAMETERS angstrom
3.587 0.000 0.000
-1.793 3.106 0.000
0.000 0.000 5.974
ATOMIC_POSITIONS angstrom
Ru 0.000 0.000 0.000
Sb 1.793 1.035 4.274
Sb 0.000 2.071 1.699
```

=====

VASP calculation (PBE) on a relaxed structure of Sb3Ru. Values from VASP.

Size of the total moment   0.001 μB per formula unit
E_tot   -4.85 eV per atom

The structure in Quantum ESPRESSO input format:
```
&SYSTEM
  ibrav = 0, nat = 4, ntyp = 2
/
ATOMIC_SPECIES
Ru 101.07 Ru.upf
Sb 121.76 Sb.upf
CELL_PARAMETERS angstrom
-1.540 -4.191 -0.514
2.279 -1.286 3.654
-3.555 0.991 2.565
ATOMIC_POSITIONS angstrom
Ru 0.000 0.000 0.000
Sb -0.638 -0.147 3.110
Sb -2.547 -1.600 1.026
Sb 0.369 -2.738 1.570
```

=====

no.,formation energy without anion corrections (eV/atom)
1,0.0426
2,0.5641